Entry 1:
Entry from Alexandria: an optimized crystal structure of TeSCl2F (PBE).

Unit cell a=5.205 b=5.205 c=4.984 alpha=90.00 beta=90.00 gamma=90.00
Sites, in units of the cell vectors:
Te 0.000 0.000 0.000
S 0.000 0.000 0.500
Cl 0.000 0.500 0.000
Cl 0.500 0.000 0.000
F 0.500 0.500 0.500

Results
- Formation energy from raw total energies: 80 meV/atom
- Magnetization: 0.144 μB/cell
- E: -2.4864 eV per atom

Entry 2:
Entry from Alexandria: an optimized crystal structure of LiTiFeGe (PBE).

Unit cell a=4.161 b=4.161 c=4.161 alpha=60.00 beta=60.00 gamma=60.00
Sites, in units of the cell vectors:
Li 0.000 0.000 0.000
Ti 0.750 0.750 0.750
Fe 0.500 0.500 0.500
Ge 0.250 0.250 0.250

Results
- Formation energy from the elements: -0.356 eV/atom
- Magnetization: 0.984 μB/cell
- E: -6.0781 eV per atom

Entry 3:
Entry from Alexandria: an optimized crystal structure of Pm2Er2Tm15 (PBE).

Unit cell a=8.623 b=8.623 c=8.623 alpha=79.80 beta=79.80 gamma=79.80
Sites, in units of the cell vectors:
Pm 0.115 0.115 0.115
Pm 0.885 0.885 0.885
Er 0.327 0.327 0.327
Er 0.673 0.673 0.673
Tm 0.000 0.000 0.500
Tm 0.000 0.304 0.696
Tm 0.000 0.500 0.000
Tm 0.000 0.696 0.304
Tm 0.151 0.633 0.633
Tm 0.304 0.000 0.696
Tm 0.304 0.696 0.000
Tm 0.367 0.367 0.849
Tm 0.367 0.849 0.367
Tm 0.500 0.000 0.000
Tm 0.633 0.151 0.633
Tm 0.633 0.633 0.151
Tm 0.696 0.000 0.304
Tm 0.696 0.304 0.000
Tm 0.849 0.367 0.367

Results
- Formation energy from the elements: 0.298 eV/atom
- Magnetization: 0.001 μB/cell
- E: -4.2127 eV per atom

Entry 4:
Entry from Alexandria: an optimized crystal structure of Sr8P3SeI4 (PBE).

Unit cell a=9.415 b=9.415 c=9.415 alpha=57.57 beta=57.57 gamma=57.57
Sites, in units of the cell vectors:
Sr 0.222 0.738 0.738
Sr 0.232 0.232 0.232
Sr 0.262 0.262 0.778
Sr 0.262 0.778 0.262
Sr 0.738 0.222 0.738
Sr 0.738 0.738 0.222
Sr 0.768 0.768 0.768
Sr 0.778 0.262 0.262
P 0.000 0.000 0.500
P 0.000 0.500 0.000
P 0.500 0.000 0.000
Se 0.500 0.500 0.500
I 0.000 0.000 0.000
I 0.000 0.500 0.500
I 0.500 0.000 0.500
I 0.500 0.500 0.000

Results
- Formation energy from raw total energies: -1482 meV/atom
- Magnetization: 0.000 μB/cell
- E: -3.9426 eV per atom

Entry 5:
Entry from Alexandria: an optimized crystal structure of KSrSb3 (PBE).

Unit cell a=6.106 b=6.106 c=6.106 alpha=90.00 beta=90.00 gamma=90.00
Sites, in units of the cell vectors:
K 0.000 0.000 0.000
Sr 0.500 0.500 0.500
Sb 0.000 0.500 0.500
Sb 0.500 0.000 0.500
Sb 0.500 0.500 0.000

Results
- Formation energy from raw total energies: 227 meV/atom
- Magnetization: 0.000 μB/cell
- E: -2.8025 eV per atom

Entry 6:
Entry from Alexandria: an optimized crystal structure of HgBi2O (PBE).

Unit cell a=5.015 b=5.015 c=5.015 alpha=60.00 beta=60.00 gamma=60.00
Sites, in units of the cell vectors:
Hg 0.000 0.000 0.000
Bi 0.250 0.250 0.250
Bi 0.750 0.750 0.750
O 0.500 0.500 0.500

Results
- Formation energy from raw total energies: 168 meV/atom
- Magnetization: 0.000 μB/cell
- E: -3.0875 eV per atom

Entry 7:
Entry from Alexandria: an optimized crystal structure of Ba2CaTeSe (PBE).

Unit cell a=6.243 b=6.243 c=6.109 alpha=90.00 beta=90.00 gamma=90.00
Sites, in units of the cell vectors:
Ba 0.000 0.500 0.000
Ba 0.500 0.000 0.000
Ca 0.000 0.000 0.500
Te 0.500 0.500 0.500
Se 0.500 0.500 0.000

Results
- Formation energy from raw total energies: -635 meV/atom
- Magnetization: 0.000 μB/cell
- E: -3.1294 eV per atom

Entry 8:
Entry from Alexandria: an optimized crystal structure of Nd4SbN2 (PBE).

Unit cell a=6.576 b=6.576 c=12.977 alpha=90.00 beta=90.00 gamma=145.06
Sites, in units of the cell vectors:
Nd 0.000 0.000 0.000
Nd 0.000 0.000 0.500
Nd 0.263 0.737 0.603
Nd 0.263 0.737 0.897
Nd 0.417 0.583 0.250
Nd 0.583 0.417 0.750
Nd 0.737 0.263 0.103
Nd 0.737 0.263 0.397
Sb 0.106 0.894 0.250
Sb 0.894 0.106 0.750
N 0.360 0.640 0.059
N 0.360 0.640 0.441
N 0.640 0.360 0.559
N 0.640 0.360 0.941

Results
- Formation energy from raw total energies: -1067 meV/atom
- Magnetization: 0.523 μB/cell
- E: -6.7586 eV per atom

Entry 9:
Entry from Alexandria: an optimized crystal structure of LaHoGaSi (PBE).

Unit cell a=5.140 b=5.140 c=5.140 alpha=60.00 beta=60.00 gamma=60.00
Sites, in units of the cell vectors:
La 0.000 0.000 0.000
Ho 0.500 0.500 0.500
Ga 0.750 0.750 0.750
Si 0.250 0.250 0.250

Results
- Formation energy from raw total energies: -504 meV/atom
- Magnetization: 0.000 μB/cell
- E: -4.9926 eV per atom

Entry 10:
Entry from Alexandria: an optimized crystal structure of YMg2Au (PBE).

Unit cell a=3.524 b=4.892 c=5.555 alpha=90.00 beta=101.29 gamma=90.00
Sites, in units of the cell vectors:
Y 0.000 0.000 0.000
Mg 0.364 0.500 0.727
Mg 0.636 0.500 0.273
Au 0.500 0.000 0.500

Results
- Formation energy from the elements: -0.328 eV/atom
- Magnetization: 0.000 μB/cell
- E: -3.5607 eV per atom